# 1
The following is a PBE-GGA calculation of a relaxed K5Cu2F12 crystal, from Alexandria.

Unit cell a=8.0393 b=8.0393 c=7.5857 alpha=116.22 beta=116.22 gamma=47.50
Atoms (fractional coordinates):
K 0.0000 0.0000 0.0000
K 0.2678 0.2678 0.5258
K 0.2796 0.2796 0.0269
K 0.7204 0.7204 0.9731
K 0.7322 0.7322 0.4742
Cu 0.2496 0.7504 0.5000
Cu 0.7504 0.2496 0.5000
F 0.0050 0.0050 0.3430
F 0.0620 0.5970 0.8276
F 0.1079 0.6107 0.3580
F 0.3893 0.8921 0.6420
F 0.4030 0.9380 0.1724
F 0.4962 0.4962 0.6608
F 0.5038 0.5038 0.3392
F 0.5970 0.0620 0.8276
F 0.6107 0.1079 0.3580
F 0.8921 0.3893 0.6420
F 0.9380 0.4030 0.1724
F 0.9950 0.9950 0.6570

Properties
Energy above the most stable polymorph in this dataset in meV/atom: 11
Formation energy (no corrections) in kJ per mole of atoms: -197

=====

# 2
The following is a PBE-GGA calculation of a relaxed Na2BiAu crystal, from Alexandria.

Unit cell a=6.7814 b=6.7814 c=6.7814 alpha=101.05 beta=101.05 gamma=128.08
Atoms (fractional coordinates):
Na 0.0895 0.6250 0.9645
Na 0.3750 0.3395 0.4645
Na 0.6605 0.1250 0.0355
Na 0.8750 0.9105 0.5355
Bi 0.2500 0.7500 0.5000
Bi 0.5000 0.5000 0.0000
Au 0.0000 0.0000 0.0000
Au 0.7500 0.2500 0.5000

Properties
Formation energy from the elements in eV/atom: -0.1512

=====

# 3
The following is a PBE-GGA calculation of a relaxed KCuAsS3 crystal, from Alexandria.

Unit cell a=8.8218 b=3.7917 c=9.2671 alpha=90.00 beta=105.13 gamma=90.00
Atoms (fractional coordinates):
K 0.1748 0.2500 0.2204
K 0.8252 0.7500 0.7796
Cu 0.0906 0.2500 0.5978
Cu 0.9094 0.7500 0.4022
As 0.3452 0.7500 0.8767
As 0.6548 0.2500 0.1233
S 0.1502 0.2500 0.8602
S 0.1760 0.7500 0.5082
S 0.4322 0.7500 0.1300
S 0.5678 0.2500 0.8700
S 0.8240 0.2500 0.4918
S 0.8498 0.7500 0.1398

Properties
Formation energy (no corrections) in kJ per mole of atoms: -42